## Cr2Re3 (PBE-GGA)

Data for crystalline Cr2Re3 at its relaxed geometry.

The value obtained for the formation energy is 50 meV per atom. The value obtained for the density of states at the Fermi level is 29.7 states/eV/cell. The polymorph energy (0 for the lowest one) comes out at 0.000 eV per atom. As for the crystal system: tetragonal.

The space group is P4_2/mnm (No. 136) and the conventional cell measures 9.185, 9.185 and 4.945 Å, with angles of 90.00, 90.00 and 90.00 degrees. The asymmetric unit holds Cr at (0.065, 0.256, 0.000), Cr at (0.097, 0.097, 0.500), Re at (0.000, 0.000, 0.000), Re at (0.035, 0.362, 0.500) and Re at (0.187, 0.813, 0.252).

***

## PrHoSn (PBE-GGA)

Data for crystalline PrHoSn at its relaxed geometry.

The value obtained for the formation energy is -376 meV per atom. The value obtained for the density of states at the Fermi level is 1.9 states/eV/cell. The polymorph energy (0 for the lowest one) comes out at 0.241 eV per atom. As for the crystal system: trigonal.

The space group is P3m1 (No. 156) and the conventional cell measures 5.1765, 5.1765 and 3.9583 Å, with angles of 90.00, 90.00 and 120.00 degrees. The asymmetric unit holds Pr at (0.0000, 0.0000, 0.0000), Ho at (0.6667, 0.3333, 0.4509) and Sn at (0.3333, 0.6667, 0.6302).

***

## Ru2RhW (PBE-GGA)

Data for crystalline Ru2RhW at its relaxed geometry.

The value obtained for the formation energy is 373 meV per atom. The value obtained for the density of states at the Fermi level is 34.9 states/eV/cell. The polymorph energy (0 for the lowest one) comes out at 0.490 eV per atom. As for the crystal system: cubic.

The space group is F-43m (No. 216) and the conventional cell measures 6.201, 6.201 and 6.201 Å, with angles of 90.00, 90.00 and 90.00 degrees. The asymmetric unit holds Ru at (0.000, 0.000, 0.000), Ru at (0.250, 0.250, 0.250), Rh at (0.000, 0.000, 0.500) and W at (0.250, 0.250, 0.750).

***

## CsLi3B (PBE-GGA)

Data for crystalline CsLi3B at its relaxed geometry.

The value obtained for the formation energy is 1791 meV per atom. The value obtained for the density of states at the Fermi level is 3.3 states/eV/cell. The polymorph energy (0 for the lowest one) comes out at 1.273 eV per atom. As for the crystal system: cubic.

The space group is Pm-3m (No. 221) and the conventional cell measures 5.273, 5.273 and 5.273 Å, with angles of 90.00, 90.00 and 90.00 degrees. The asymmetric unit holds Cs at (0.000, 0.000, 0.000), Li at (0.000, 0.000, 0.500) and B at (0.500, 0.500, 0.500).

***

## Rb2SbRuS (PBE-GGA)

Data for crystalline Rb2SbRuS at its relaxed geometry.

The value obtained for the total energy is -16.8 eV per formula unit. The value obtained for the density of states at the Fermi level is 3.7 states/eV/cell. As for the crystal system: tetragonal.

The space group is P4/mmm (No. 123) and the conventional cell measures 6.916, 6.916 and 4.963 Å, with angles of 90.00, 90.00 and 90.00 degrees. The asymmetric unit holds Rb at (0.000, 0.500, 0.000), Sb at (0.000, 0.000, 0.000), Ru at (0.000, 0.000, 0.500) and S at (0.500, 0.500, 0.500).

***

## Pm5Sm4Ag (PBE-GGA)

Data for crystalline Pm5Sm4Ag at its relaxed geometry.

The value obtained for the formation energy is -37 meV per atom. The value obtained for the density of states at the Fermi level is 13.0 states/eV/cell. As for the crystal system: tetragonal.

The space group is P4/mmm (No. 123) and the conventional cell measures 3.651, 3.651 and 24.462 Å, with angles of 90.00, 90.00 and 90.00 degrees. The asymmetric unit holds Pm at (0.000, 0.000, 0.000), Pm at (0.000, 0.000, 0.210), Pm at (0.000, 0.000, 0.420), Sm at (0.500, 0.500, 0.105), Sm at (0.500, 0.500, 0.314) and Ag at (0.500, 0.500, 0.500).

***

## HfNbNiOs (PBE-GGA)

Data for crystalline HfNbNiOs at its relaxed geometry.

The value obtained for the formation energy is -339 meV per atom. The value obtained for the density of states at the Fermi level is 18.1 states/eV/cell. As for the crystal system: cubic.

The space group is F-43m (No. 216) and the conventional cell measures 6.383, 6.383 and 6.383 Å, with angles of 90.00, 90.00 and 90.00 degrees. The asymmetric unit holds Hf at (0.000, 0.000, 0.000), Nb at (0.000, 0.000, 0.500), Ni at (0.250, 0.250, 0.750) and Os at (0.250, 0.250, 0.250).

***

## BeCo8B2 (PBE-GGA)

Data for crystalline BeCo8B2 at its relaxed geometry.

The value obtained for the formation energy is -77 meV per atom. The value obtained for the density of states at the Fermi level is 22.3 states/eV/cell. As for the crystal system: monoclinic.

The space group is C2/m (No. 12) and the conventional cell measures 6.110, 9.163 and 3.984 Å, with angles of 90.00, 107.14 and 90.00 degrees. The asymmetric unit holds Be at (0.000, 0.000, 0.000), Co at (0.000, 0.242, 0.000), Co at (0.114, 0.500, 0.809), Co at (0.202, 0.126, 0.596) and B at (0.000, 0.314, 0.500).

***

Number 1: theoretical density 15.8 Mg/m³. Number 2: theoretical density 7.7 Mg/m³. Number 3: theoretical density 13.6 Mg/m³. Number 4: theoretical density 1.9 Mg/m³. Number 5: theoretical density 3.0 Mg/m³. Number 6: theoretical density 7.3 Mg/m³. Number 7: theoretical density 13.3 Mg/m³. Number 8: theoretical density 7.8 Mg/m³.